SnP2O7: optimized geometry, PBE-GGA.

Structure (POSCAR):
```
SnP2O7
1.0
8.8372 0.0000 0.0000
0.0000 5.1535 0.0000
-5.7916 0.0000 12.4963
Sn P O
4 8 28
direct
0.2357 0.2463 0.4775
0.2357 0.2537 0.9775
0.7643 0.7463 0.0225
0.7643 0.7537 0.5225
0.1805 0.7418 0.1198
0.1805 0.7582 0.6198
0.3384 0.7461 0.3630
0.3384 0.7539 0.8630
0.6616 0.2461 0.1370
0.6616 0.2539 0.6370
0.8195 0.2418 0.3802
0.8195 0.2582 0.8802
0.0118 0.6731 0.6154
0.0118 0.8269 0.1154
0.1785 0.0435 0.5872
0.1785 0.4565 0.0872
0.2167 0.5680 0.8807
0.2167 0.9320 0.3807
0.2520 0.5839 0.5603
0.2520 0.9161 0.0603
0.3019 0.0396 0.8754
0.3019 0.4604 0.3754
0.3131 0.7274 0.7414
0.3131 0.7726 0.2414
0.4813 0.1727 0.5740
0.4813 0.3273 0.0740
0.5187 0.6727 0.9260
0.5187 0.8273 0.4260
0.6869 0.2274 0.7586
0.6869 0.2726 0.2586
0.6981 0.5396 0.6246
0.6981 0.9604 0.1246
0.7480 0.0839 0.9397
0.7480 0.4161 0.4397
0.7833 0.0680 0.6193
0.7833 0.4320 0.1193
0.8215 0.5435 0.9128
0.8215 0.9565 0.4128
0.9882 0.1731 0.8846
0.9882 0.3269 0.3846
```

Summary:
The total energy comes out at -0.514 Ry/atom. Its size of the total moment is 0.000 μB per cell. The calculation puts the offset from the most stable computed form at 0.001 eV/atom. Its space group is P2_1/c. The value obtained for the formation energy (no corrections) is -2.038 eV/atom.